1.
Sm6Dy2Ho3Zr | PBE-GGA | optimized geometry

It has space group C2/m (No. 12), with a = 6.1527 Å, b = 10.6408 Å, c = 11.7085 Å, α = 90.00°, β = 100.02° and γ = 90.00°. The asymmetric unit holds Sm at (0.2452, 0.1636, 0.2457), Sm at (0.2456, 0.0000, 0.7551), Dy at (0.0000, 0.3331, 0.0000), Ho at (0.0000, 0.1662, 0.5000), Ho at (0.0000, 0.5000, 0.5000) and Zr at (0.0000, 0.0000, 0.0000).

For the total magnetization, the calculation gives 0.00 μB per formula unit. The value obtained for the density of states at the Fermi level is 30.1 states/eV/cell. The calculated total energy comes out at -4.93 eV per atom. Its crystal system is monoclinic. The formation energy is 0.050 eV/atom.


2.
Ta2GaC | PBE-GGA | optimized geometry

It has space group I-42d (No. 122), with a = 6.4326 Å, b = 6.4326 Å, c = 5.8554 Å, α = 90.00°, β = 90.00° and γ = 90.00°. The asymmetric unit holds Ta at (0.1811, 0.2500, 0.1250), Ga at (0.0000, 0.0000, 0.5000) and C at (0.0000, 0.0000, 0.0000).

For the total magnetization, the calculation gives 0.00 μB per formula unit. The value obtained for the density of states at the Fermi level is 11.3 states/eV/cell. The calculated total energy comes out at -8.85 eV per atom. Its crystal system is tetragonal. As for the energy above the most stable polymorph in this dataset: 63.5 kJ per mole of atoms. The formation energy is 0.140 eV/atom.


3.
Pr2Zn4HgPt3 | PBE-GGA | optimized geometry

It has space group P-4m2 (No. 115), with a = 4.1741 Å, b = 4.1741 Å, c = 11.5316 Å, α = 90.00°, β = 90.00° and γ = 90.00°. The asymmetric unit holds Pr at (0.0000, 0.5000, 0.2359), Zn at (0.0000, 0.0000, 0.0000), Zn at (0.0000, 0.5000, 0.6419), Zn at (0.5000, 0.5000, 0.0000), Hg at (0.0000, 0.0000, 0.5000), Pt at (0.0000, 0.5000, 0.8620) and Pt at (0.5000, 0.5000, 0.5000).

For the total magnetization, the calculation gives 0.00 μB per formula unit. The value obtained for the density of states at the Fermi level is 4.9 states/eV/cell. The calculated total energy comes out at -3.94 eV per atom. Its crystal system is tetragonal. The formation energy is -0.633 eV/atom.


4.
GdLu | PBE-GGA | optimized geometry

It has space group P2_1/m (No. 11), with a = 3.4712 Å, b = 5.4984 Å, c = 6.7314 Å, α = 90.00°, β = 105.00° and γ = 90.00°. The asymmetric unit holds Gd at (0.0649, 0.2500, 0.1289) and Lu at (0.3223, 0.2500, 0.6454).

For the total magnetization, the calculation gives 7.86 μB per formula unit. The value obtained for the density of states at the Fermi level is 6.3 states/eV/cell. The calculated total energy comes out at -9.25 eV per atom. Its crystal system is monoclinic. As for the energy above the most stable polymorph in this dataset: 0.0 kJ per mole of atoms. The formation energy is 0.049 eV/atom.


5.
CaAc2ThP4 | PBE-GGA | optimized geometry

It has space group P2/m (No. 10), with a = 7.4363 Å, b = 4.3252 Å, c = 7.4479 Å, α = 90.00°, β = 109.32° and γ = 90.00°. The asymmetric unit holds Ca at (0.0000, 0.0000, 0.0000), Ac at (0.0000, 0.5000, 0.5000), Ac at (0.5000, 0.0000, 0.5000), Th at (0.5000, 0.5000, 0.0000), P at (0.2542, 0.5000, 0.2363) and P at (0.2612, 0.0000, 0.7681).

For the total magnetization, the calculation gives 0.00 μB per formula unit. The value obtained for the density of states at the Fermi level is 1.2 states/eV/cell. The calculated total energy comes out at -6.31 eV per atom. Its crystal system is monoclinic. The formation energy is -1.396 eV/atom.


6.
TaTcSeBr2 | PBE-GGA | optimized geometry

It has space group P4/mmm (No. 123), with a = 4.9393 Å, b = 4.9393 Å, c = 5.0643 Å, α = 90.00°, β = 90.00° and γ = 90.00°. The asymmetric unit holds Ta at (0.0000, 0.0000, 0.0000), Tc at (0.5000, 0.5000, 0.5000), Se at (0.5000, 0.5000, 0.0000) and Br at (0.0000, 0.5000, 0.5000).

For the total magnetization, the calculation gives 1.10 μB per formula unit. The value obtained for the density of states at the Fermi level is 6.8 states/eV/cell. The calculated total energy comes out at -4.69 eV per atom. Its crystal system is tetragonal. As for the energy above the most stable polymorph in this dataset: 33.2 kJ per mole of atoms. Its uncorrected formation energy is 1.12 eV/atom.